# 1
Nb2CuHg | GGA-PBE | optimized geometry

Cell: 7.490 7.490 5.921 Å, 50.77 50.77 90.00°
Fractional coordinates of all 8 atoms:
Cu (0.500, 0.500, 0.000)
Hg (0.000, 0.000, 0.000)
Nb (0.375, 0.398, 0.750)
Nb (0.148, 0.625, 0.250)
Nb (0.875, 0.852, 0.750)
Cu (0.250, 0.750, 0.500)
Nb (0.602, 0.125, 0.250)
Hg (0.750, 0.250, 0.500)

Space group: No. 122
Energy of formation, eV per formula unit: 2.28

# 2
NbCuHg3 | GGA-PBE | optimized geometry

Cell: 5.456 5.456 5.456 Å, 90.00 90.00 90.00°
Last column: magnetic moment on the atom in μB.
Fractional coordinates of all 5 atoms:
Hg (0.000, 0.000, 0.500)  0.05
Hg (0.000, 0.500, 0.000)  0.05
Nb (0.000, 0.000, 0.000)  1.24
Cu (0.500, 0.500, 0.500)  -0.02
Hg (0.500, 0.000, 0.000)  0.05

Space group: No. 221
ΔE to the lowest computed polymorph, meV per atom: 281
Energy of formation, eV per formula unit: 5.74

# 3
NbCu3Hg | GGA-PBE | optimized geometry

Cell: 4.722 4.722 4.722 Å, 90.00 90.00 90.00°
Last column: magnetic moment on the atom in μB.
Fractional coordinates of all 5 atoms:
Cu (0.000, 0.000, 0.500)  -0.03
Cu (0.000, 0.500, 0.000)  -0.01
Cu (0.500, 0.000, 0.000)  0.03
Hg (0.000, 0.000, 0.000)  -0.02
Nb (0.500, 0.500, 0.500)  2.09

Space group: No. 221
ΔE to the lowest computed polymorph, meV per atom: 0
Energy of formation, eV per formula unit: 6.47

# 4
NbCuHg2 | GGA-PBE | optimized geometry

Cell: 4.710 4.710 4.710 Å, 60.00 60.00 60.00°
Fractional coordinates of all 4 atoms:
Hg (0.250, 0.250, 0.250)
Nb (0.500, 0.500, 0.500)
Hg (0.750, 0.750, 0.750)
Cu (0.000, 0.000, 0.000)

Space group: No. 225
ΔE to the lowest computed polymorph, meV per atom: 0
Energy of formation, eV per formula unit: 1.72

# 5
NbCuHg2 | GGA-PBE | optimized geometry

Cell: 7.427 7.427 5.997 Å, 51.74 51.74 90.00°
Fractional coordinates of all 8 atoms:
Hg (0.375, 0.400, 0.750)
Hg (0.600, 0.125, 0.250)
Hg (0.150, 0.625, 0.250)
Nb (0.000, 0.000, 0.000)
Hg (0.875, 0.850, 0.750)
Cu (0.250, 0.750, 0.500)
Nb (0.750, 0.250, 0.500)
Cu (0.500, 0.500, 0.000)

Space group: No. 122
ΔE to the lowest computed polymorph, meV per atom: 168
Energy of formation, eV per formula unit: 2.39

# 6
NbCu2Hg | GGA-PBE | optimized geometry

Cell: 7.096 7.096 5.746 Å, 51.87 51.87 90.00°
Fractional coordinates of all 8 atoms:
Cu (0.620, 0.125, 0.250)
Nb (0.250, 0.750, 0.500)
Nb (0.500, 0.500, 0.000)
Hg (0.750, 0.250, 0.500)
Cu (0.375, 0.380, 0.750)
Cu (0.130, 0.625, 0.250)
Hg (0.000, 0.000, 0.000)
Cu (0.875, 0.870, 0.750)

Space group: No. 122
Energy of formation, eV per formula unit: 2.57

# 7
NbCu2Hg | GGA-PBE | optimized geometry

Cell: 2.894 2.894 7.691 Å, 90.00 90.00 90.00°
Fractional coordinates of all 4 atoms:
Hg (0.500, 0.500, 0.500)
Cu (0.000, 0.000, 0.242)
Nb (0.500, 0.500, 0.000)
Cu (0.000, 0.000, 0.758)

Space group: No. 123
Energy of formation, eV per formula unit: 0.62

# 8
NbCu2HgPb | GGA-PBE | optimized geometry

Cell: 4.879 5.630 4.879 Å, 90.00 90.00 90.00°
Fractional coordinates of all 5 atoms:
Cu (0.500, 0.000, 0.000)
Cu (0.000, 0.000, 0.500)
Pb (0.000, 0.500, 0.000)
Hg (0.500, 0.500, 0.500)
Nb (0.000, 0.000, 0.000)

Space group: No. 123
Energy of formation, eV per formula unit: 5.47

# 9
NbCuHg2Pt | GGA-PBE | optimized geometry

Cell: 4.732 4.787 4.732 Å, 90.00 90.00 90.00°
Last column: magnetic moment on the atom in μB.
Fractional coordinates of all 5 atoms:
Hg (0.500, 0.000, 0.000)  0.00
Nb (0.000, 0.500, 0.000)  0.27
Cu (0.000, 0.000, 0.000)  0.01
Pt (0.500, 0.500, 0.500)  0.00
Hg (0.000, 0.000, 0.500)  0.00

Space group: No. 123
Energy of formation, eV per formula unit: 4.51

# 10
Nb2CuHg2S6 | GGA-PBE | optimized geometry

Cell: 6.081 6.081 9.385 Å, 100.39 100.39 121.56°
Fractional coordinates of all 11 atoms:
Cu (0.000, 0.000, 0.500)
Nb (0.663, 0.337, 0.500)
S (0.910, 0.572, 0.336)
S (0.767, 0.767, 0.666)
S (0.428, 0.090, 0.664)
S (0.233, 0.233, 0.334)
S (0.572, 0.910, 0.336)
Hg (0.252, 0.748, 0.000)
Hg (0.748, 0.252, 0.000)
S (0.090, 0.428, 0.664)
Nb (0.337, 0.663, 0.500)

Space group: No. 12
VASP energy, eV per cell: -55.07

# 11
ScNbCuHg2 | GGA-PBE | optimized geometry

Cell: 5.343 4.764 5.343 Å, 90.00 90.00 90.00°
Last column: magnetic moment on the atom in μB.
Fractional coordinates of all 5 atoms:
Hg (0.500, 0.000, 0.000)  -0.01
Hg (0.000, 0.000, 0.500)  0.00
Sc (0.000, 0.000, 0.000)  0.09
Nb (0.000, 0.500, 0.000)  0.45
Cu (0.500, 0.500, 0.500)  -0.01

Space group: No. 123
Energy of formation, eV per formula unit: 6.27

# 12
Nb2CuHg2Se6 | GGA-PBE | optimized geometry

Cell: 6.296 6.296 9.590 Å, 99.74 99.74 121.47°
Fractional coordinates of all 11 atoms:
Se (0.086, 0.421, 0.671)
Se (0.421, 0.086, 0.671)
Hg (0.756, 0.244, 0.000)
Se (0.914, 0.579, 0.329)
Nb (0.338, 0.662, 0.500)
Nb (0.662, 0.338, 0.500)
Hg (0.244, 0.756, 0.000)
Se (0.769, 0.769, 0.675)
Se (0.579, 0.914, 0.329)
Se (0.231, 0.231, 0.325)
Cu (0.000, 0.000, 0.500)

Space group: No. 12
VASP energy, eV per cell: -50.12

# 13
NbCuHg2W | GGA-PBE | optimized geometry

Cell: 5.317 4.716 5.317 Å, 90.00 90.00 90.00°
Last column: magnetic moment on the atom in μB.
Fractional coordinates of all 5 atoms:
Hg (0.000, 0.000, 0.500)  -0.02
Nb (0.000, 0.000, 0.000)  -0.66
Hg (0.500, 0.000, 0.000)  -0.04
W (0.500, 0.500, 0.500)  3.15
Cu (0.000, 0.500, 0.000)  0.02

Space group: No. 123
Energy of formation, eV per formula unit: 10.34

# 14
NdCu5Hg | GGA-PBE | optimized geometry

Cell: 5.111 8.387 10.562 Å, 90.00 90.00 90.00°
Fractional coordinates of all 28 atoms:
Cu (0.500, 0.932, 0.314)
Cu (0.750, 0.419, 0.984)
Nd (0.750, 0.757, 0.064)
Cu (0.000, 0.932, 0.314)
Cu (0.000, 0.568, 0.814)
Cu (0.250, 0.445, 0.389)
Cu (0.750, 0.815, 0.742)
Hg (0.250, 0.863, 0.865)
Hg (0.750, 0.137, 0.135)
Cu (0.500, 0.432, 0.186)
Cu (0.750, 0.055, 0.889)
Hg (0.750, 0.637, 0.365)
Cu (0.500, 0.568, 0.814)
Cu (0.250, 0.581, 0.016)
Nd (0.250, 0.243, 0.936)
Nd (0.250, 0.743, 0.564)
Cu (0.000, 0.068, 0.686)
Cu (0.250, 0.081, 0.484)
Cu (0.250, 0.945, 0.111)
Cu (0.750, 0.919, 0.516)
Cu (0.750, 0.555, 0.611)
Nd (0.750, 0.257, 0.436)
Cu (0.000, 0.432, 0.186)
Cu (0.250, 0.185, 0.258)
Hg (0.250, 0.363, 0.635)
Cu (0.250, 0.685, 0.242)
Cu (0.500, 0.068, 0.686)
Cu (0.750, 0.315, 0.758)

Space group: No. 62
Energy of formation, eV per formula unit: -1.17

# 15
Nd5Cu2Hg | GGA-PBE | optimized geometry

Cell: 8.237 8.237 8.708 Å, 118.22 118.22 90.00°
Fractional coordinates of all 16 atoms:
Nd (0.512, 0.701, 0.713)
Hg (0.250, 0.250, 0.500)
Nd (0.012, 0.512, 0.713)
Hg (0.750, 0.750, 0.500)
Cu (0.627, 0.127, 0.000)
Nd (0.488, 0.299, 0.287)
Nd (0.988, 0.488, 0.287)
Nd (0.799, 0.988, 0.287)
Nd (0.000, 0.000, 0.000)
Nd (0.299, 0.799, 0.287)
Cu (0.873, 0.627, 0.000)
Nd (0.500, 0.500, 0.000)
Nd (0.701, 0.201, 0.713)
Nd (0.201, 0.012, 0.713)
Cu (0.373, 0.873, 0.000)
Cu (0.127, 0.373, 0.000)

Space group: No. 140
Energy of formation, eV per formula unit: -1.48

# 16
Nd12CuHg6 | GGA-PBE | optimized geometry

Cell: 8.280 8.280 8.280 Å, 90.79 90.79 90.79°
Fractional coordinates of all 19 atoms:
Hg (0.268, 0.714, 0.879)
Nd (0.555, 0.194, 0.460)
Nd (0.194, 0.460, 0.555)
Nd (0.460, 0.555, 0.194)
Nd (0.348, 0.012, 0.122)
Nd (0.806, 0.540, 0.445)
Hg (0.732, 0.286, 0.121)
Nd (0.988, 0.878, 0.652)
Hg (0.879, 0.268, 0.714)
Hg (0.121, 0.732, 0.286)
Nd (0.012, 0.122, 0.348)
Nd (0.445, 0.806, 0.540)
Nd (0.540, 0.445, 0.806)
Nd (0.652, 0.988, 0.878)
Cu (0.000, 0.000, 0.000)
Hg (0.286, 0.121, 0.732)
Nd (0.878, 0.652, 0.988)
Nd (0.122, 0.348, 0.012)
Hg (0.714, 0.879, 0.268)

Space group: No. 148
Energy of formation, eV per formula unit: -3.53

# 17
Nd5CuHg4 | GGA-PBE | optimized geometry

Cell: 3.777 3.777 19.152 Å, 90.00 90.00 90.00°
Last column: magnetic moment on the atom in μB.
Fractional coordinates of all 10 atoms:
Hg (0.000, 0.000, 0.192)  0.01
Hg (0.000, 0.000, 0.603)  0.01
Nd (0.500, 0.500, 0.500)  0.19
Nd (0.500, 0.500, 0.705)  0.16
Hg (0.000, 0.000, 0.397)  0.01
Cu (0.000, 0.000, 0.000)  0.01
Nd (0.500, 0.500, 0.295)  0.16
Nd (0.500, 0.500, 0.088)  0.04
Nd (0.500, 0.500, 0.912)  0.04
Hg (0.000, 0.000, 0.808)  0.01

Space group: No. 123
Energy of formation, eV per formula unit: -3.98

# 18
Nd7Cu2Hg2 | GGA-PBE | optimized geometry

Cell: 6.989 7.337 6.989 Å, 90.00 109.66 90.00°
Fractional coordinates of all 11 atoms:
Nd (0.500, 0.245, 0.500)
Hg (0.823, 0.500, 0.823)
Cu (0.704, 0.000, 0.296)
Cu (0.296, 0.000, 0.704)
Nd (0.000, 0.261, 0.500)
Nd (0.000, 0.000, 0.000)
Nd (0.500, 0.261, 0.000)
Nd (0.000, 0.739, 0.500)
Hg (0.177, 0.500, 0.177)
Nd (0.500, 0.739, 0.000)
Nd (0.500, 0.755, 0.500)

Space group: No. 65
Energy of formation, eV per formula unit: -0.50

# 19
Nd5Cu4Hg | GGA-PBE | optimized geometry

Cell: 3.615 3.615 18.512 Å, 90.00 90.00 90.00°
Last column: magnetic moment on the atom in μB.
Fractional coordinates of all 10 atoms:
Cu (0.000, 0.000, 0.403)  0.00
Cu (0.000, 0.000, 0.597)  0.00
Nd (0.500, 0.500, 0.694)  0.00
Nd (0.500, 0.500, 0.886)  0.06
Nd (0.500, 0.500, 0.114)  0.06
Cu (0.000, 0.000, 0.212)  0.01
Nd (0.500, 0.500, 0.500)  0.00
Nd (0.500, 0.500, 0.306)  0.00
Hg (0.000, 0.000, 0.000)  0.00
Cu (0.000, 0.000, 0.788)  0.01

Space group: No. 123
Energy of formation, eV per formula unit: -2.02

# 20
Nd2Cu15Hg2 | GGA-PBE | optimized geometry

Cell: 6.662 6.662 6.662 Å, 83.37 83.37 83.37°
Fractional coordinates of all 19 atoms:
Hg (0.891, 0.891, 0.891)
Cu (0.348, 0.348, 0.838)
Cu (0.652, 0.162, 0.652)
Cu (0.162, 0.652, 0.652)
Hg (0.109, 0.109, 0.109)
Nd (0.648, 0.648, 0.648)
Cu (0.000, 0.695, 0.305)
Cu (0.652, 0.652, 0.162)
Cu (0.500, 0.000, 0.000)
Cu (0.695, 0.305, 0.000)
Cu (0.000, 0.500, 0.000)
Cu (0.000, 0.305, 0.695)
Cu (0.838, 0.348, 0.348)
Cu (0.000, 0.000, 0.500)
Cu (0.348, 0.838, 0.348)
Nd (0.352, 0.352, 0.352)
Cu (0.305, 0.695, 0.000)
Cu (0.695, 0.000, 0.305)
Cu (0.305, 0.000, 0.695)

Space group: No. 166
Energy of formation, eV per formula unit: -1.25

no.,Fermi-level density of states (states/eV per cell)
1,7.95
2,4.56
3,3.98
4,2.97
5,3.05
6,10.00
7,3.16
8,6.33
9,4.66
10,5.21
11,4.59
12,5.19
13,4.43
14,12.59
15,19.50
16,22.81
17,10.55
18,14.08
19,8.66
20,8.51